# NdDyScCd, optimized geometry, DFT PBE-GGA
# * space-group type: F-43m, No. 216
# * crystal system: cubic
# * V: 111 Å³/cell
# * formation energy from the elements: -0.0504 eV per atom
# * electronic total energy: -4.205 eV per atom
# * E above lowest polymorph: 30 kJ/mol of formula units
# * density of states at the Fermi level: 5.1 states/eV/cell
data_NdDyScCd
_cell_length_a 5.4016
_cell_length_b 5.4016
_cell_length_c 5.4016
_cell_angle_alpha 60.00
_cell_angle_beta 60.00
_cell_angle_gamma 60.00
_space_group_name_H-M_alt 'P 1'
_space_group_IT_number 1
loop_
_space_group_symop_operation_xyz
'x,y,z'
loop_
_atom_site_label
_atom_site_fract_x
_atom_site_fract_y
_atom_site_fract_z
Nd1 0.0000 0.0000 0.0000
Dy1 0.5000 0.5000 0.5000
Sc1 0.2500 0.2500 0.2500
Cd1 0.7500 0.7500 0.7500